## HfSc3Fe (PBE)

Data for a relaxed structure of HfSc3Fe.

Formation energy from the elements: 0.24 eV/atom
Spin magnetization: 0.00 μB/f.u.
Energy above the lowest structure with this stoichiometry: 0.0 kJ per mole of atoms
Fermi-level density of states: 7.00 states/eV/f.u.

a b c (Å): 4.810 4.810 4.810
angles (deg): 90.00 90.00 90.00
Element x y z (fractional)
Sc 0.000 0.500 0.000
Sc 0.000 0.000 0.500
Sc 0.500 0.000 0.000
Hf 0.500 0.500 0.500
Fe 0.000 0.000 0.000